No. 1
Y3Te2O2 | Alexandria | PBE | optimized geometry; space-group type = P-1 (2); formation energy (no corrections) = -14.684 eV/f.u.
1.0
3.689 0.000 0.000
-1.827 5.596 0.000
-0.036 -1.570 7.665
Y Te O
3 2 2
direct
0.000 0.000 0.000
0.219 0.440 0.793
0.781 0.560 0.207
0.117 0.226 0.371
0.883 0.774 0.629
0.363 0.726 0.048
0.637 0.274 0.952

***

No. 2
TbScNb | Alexandria | PBE | optimized geometry; distance to the lowest polymorph of the same formula = 0.004 eV/atom; space-group type = I4mm (107); formation energy = 4.7 kcal/mol of atoms
1.0
-1.569 1.569 7.359
1.569 -1.569 7.359
1.569 1.569 -7.359
Tb Sc Nb
1 1 1
direct
0.000 0.000 0.000
0.301 0.301 0.000
0.660 0.660 0.000

***

No. 3
BeFe3Cl | Alexandria | PBE | optimized geometry; distance to the lowest polymorph of the same formula = 0.000 eV/atom; space-group type = Pm-3m (221); formation energy (no corrections) = 4.166 eV/f.u.
1.0
4.131 0.000 0.000
0.000 4.131 0.000
0.000 0.000 4.131
Be Fe Cl
1 3 1
direct
0.000 0.000 0.000
0.000 0.000 0.500
0.000 0.500 0.000
0.500 0.000 0.000
0.500 0.500 0.500

***

No. 4
CeEr3F | Alexandria | PBE | optimized geometry; space-group type = Pm-3m (221); formation energy (no corrections) = -4.231 eV/f.u.
1.0
5.002 0.000 0.000
0.000 5.002 0.000
0.000 0.000 5.002
Ce Er F
1 3 1
direct
0.000 0.000 0.000
0.000 0.500 0.500
0.500 0.000 0.500
0.500 0.500 0.000
0.500 0.500 0.500

***

No. 5
Co2Re | Alexandria | PBE | optimized geometry; distance to the lowest polymorph of the same formula = 0.148 eV/atom; space-group type = Cmcm (63); formation energy = 2.3 kcal/mol of atoms
1.0
1.316 -6.764 0.000
1.316 6.764 0.000
0.000 0.000 4.176
Co Re
4 2
direct
0.051 0.949 0.750
0.397 0.603 0.750
0.603 0.397 0.250
0.949 0.051 0.250
0.287 0.713 0.250
0.713 0.287 0.750

***

No. 6
SrMo2Os | Alexandria | PBE | optimized geometry; distance to the lowest polymorph of the same formula = 0.283 eV/atom; space-group type = Imm2 (44); formation energy = 20.9 kcal/mol of atoms
1.0
-1.527 2.576 4.831
1.527 -2.576 4.831
1.527 2.576 -4.831
Sr Mo Os
1 2 1
direct
0.000 0.000 0.000
0.283 0.783 0.500
0.504 0.504 0.000
0.720 0.220 0.500

***

No. 7
Tm2ZnBr | Alexandria | PBE | optimized geometry; space-group type = R-3m (166); formation energy (no corrections) = -2.337 eV/f.u.
1.0
1.975 1.140 7.402
-1.975 1.140 7.402
0.000 -2.281 7.402
Tm Zn Br
2 1 1
direct
0.240 0.240 0.240
0.760 0.760 0.760
0.500 0.500 0.500
0.000 0.000 0.000

***

No. 8
KSc2Pt | Alexandria | PBE | optimized geometry; distance to the lowest polymorph of the same formula = 0.053 eV/atom; space-group type = R-3m (166); formation energy = -7.4 kcal/mol of atoms
1.0
1.992 1.150 10.284
-1.992 1.150 10.284
0.000 -2.300 10.284
K Sc Pt
1 2 1
direct
0.000 0.000 0.000
0.125 0.125 0.125
0.875 0.875 0.875
0.500 0.500 0.500

***

No. 9
NaSnB | Alexandria | PBE | optimized geometry; space-group type = P6_3/mmc (194); formation energy = 18.2 kcal/mol of atoms
1.0
4.928 0.000 0.000
-2.464 4.268 0.000
0.000 0.000 8.144
Na Sn B
2 2 2
direct
0.333 0.667 0.250
0.667 0.333 0.750
0.000 0.000 0.000
0.000 0.000 0.500
0.000 0.000 0.250
0.000 0.000 0.750

***

No. 10
Nd2ZrBr | Alexandria | PBE | optimized geometry; space-group type = R-3m (166); formation energy (no corrections) = -0.627 eV/f.u.
1.0
1.706 0.985 11.404
-1.706 0.985 11.404
0.000 -1.970 11.404
Nd Zr Br
2 1 1
direct
0.095 0.095 0.095
0.905 0.905 0.905
0.000 0.000 0.000
0.500 0.500 0.500

***

No. 11
PmZn2Cu3 | Alexandria | PBE | optimized geometry; distance to the lowest polymorph of the same formula = 0.029 eV/atom; space-group type = Cmcm (63); formation energy = -4.7 kcal/mol of atoms
1.0
4.759 -4.188 0.000
4.759 4.188 0.000
0.000 0.000 5.055
Pm Zn Cu
2 4 6
direct
0.192 0.808 0.750
0.808 0.192 0.250
0.275 0.275 0.000
0.275 0.275 0.500
0.725 0.725 0.000
0.725 0.725 0.500
0.052 0.590 0.250
0.410 0.948 0.250
0.440 0.560 0.250
0.560 0.440 0.750
0.590 0.052 0.750
0.948 0.410 0.750

***

No. 12
NaLa2Pt9 | Alexandria | PBE | optimized geometry; space-group type = R-3m (166); formation energy = -16.5 kcal/mol of atoms
1.0
2.750 1.588 8.876
-2.750 1.588 8.876
0.000 -3.176 8.876
Na La Pt
1 2 9
direct
0.000 0.000 0.000
0.136 0.136 0.136
0.864 0.864 0.864
0.080 0.586 0.586
0.332 0.332 0.332
0.414 0.414 0.920
0.414 0.920 0.414
0.500 0.500 0.500
0.586 0.080 0.586
0.586 0.586 0.080
0.668 0.668 0.668
0.920 0.414 0.414

***

| no. | E (eV per atom) |
| --- | --- |
| 1 | -7.182 |
| 2 | -6.807 |
| 3 | -5.359 |
| 4 | -5.145 |
| 5 | -8.788 |
| 6 | -7.737 |
| 7 | -3.557 |
| 8 | -5.269 |
| 9 | -3.210 |
| 10 | -5.096 |
| 11 | -3.470 |
| 12 | -6.177 |